No. 1
Entry from the Alexandria database: crystalline Y2TeSe at its relaxed geometry (PBE-GGA).

Computed properties:
Relative energy among the computed polymorphs in meV per atom: 270.3
DFT total energy in eV/atom: -6.2044
Fermi-level density of states in states/eV per cell: 2.27
ΔE_f (raw) in eV per atom: -1.32

Lattice parameters (Å, degrees): 5.2114 5.2114 5.2114 60.00 60.00 60.00
Element x y z (fractional)
1 Y 0.2500 0.2500 0.2500
2 Y 0.7500 0.7500 0.7500
3 Te 0.0000 0.0000 0.0000
4 Se 0.5000 0.5000 0.5000

=====

No. 2
Entry from the Alexandria database: crystalline Y2TeSe at its relaxed geometry (PBE-GGA).

Computed properties:
Relative energy among the computed polymorphs in meV per atom: 154.6
DFT total energy in eV/atom: -6.3200
Fermi-level density of states in states/eV per cell: 2.11
ΔE_f (raw) in eV per atom: -1.43

Lattice parameters (Å, degrees): 4.0912 7.2930 7.2930 32.47 90.00 90.00
Element x y z (fractional)
1 Y 0.0000 0.0000 0.0000
2 Y 0.5000 0.3343 0.3343
3 Te 0.0000 0.7741 0.7741
4 Se 0.5000 0.5382 0.5382

=====

Repeat the first record exactly.
Entry from the Alexandria database: crystalline Y2TeSe at its relaxed geometry (PBE-GGA).

Computed properties:
Relative energy among the computed polymorphs in meV per atom: 270.3
DFT total energy in eV/atom: -6.2044
Fermi-level density of states in states/eV per cell: 2.27
ΔE_f (raw) in eV per atom: -1.32

Lattice parameters (Å, degrees): 5.2114 5.2114 5.2114 60.00 60.00 60.00
Element x y z (fractional)
1 Y 0.2500 0.2500 0.2500
2 Y 0.7500 0.7500 0.7500
3 Te 0.0000 0.0000 0.0000
4 Se 0.5000 0.5000 0.5000

=====

Which of these has the highest ΔE_f (raw)?
number 1

=====

What is the formula in the second record?
Y2TeSe